Material: PuMgCd
Method: DFT, PBE
State: optimized geometry

abc: 3.313 3.313 13.312
angles: 90.00 90.00 90.00
Fractional positions:
Pu 0.250 0.250 0.099
Pu 0.750 0.750 0.901
Mg 0.250 0.250 0.420
Mg 0.750 0.750 0.580
Cd 0.250 0.250 0.725
Cd 0.750 0.750 0.275

Total magnetization: 6.24 μB per formula unit
Space group: P4/nmm (129)
E: -16.7 eV per formula unit